(1)
# Zn6InGa2

A relaxed Zn6InGa2 crystal (PBE, Alexandria).

Values from the calculation:
**Formation energy from the elements**: 0.4 eV/f.u.
**DOS at the Fermi energy**: 2.418 states/eV/cell
**Space-group type**: P4/mmm

Cell lengths 4.092, 4.092, 9.524 Å; angles 90.00, 90.00, 90.00 degrees
Positions (direct):
Zn 0.000 0.000 0.000
Zn 0.000 0.500 0.192
Zn 0.000 0.500 0.808
Zn 0.500 0.000 0.192
Zn 0.500 0.000 0.808
Zn 0.500 0.500 0.000
In 0.000 0.000 0.500
Ga 0.500 0.500 0.366
Ga 0.500 0.500 0.634

=====

(2)
# NbCrAsRu2

A relaxed NbCrAsRu2 crystal (PBE, Alexandria).

Values from the calculation:
**Formation energy from the elements**: 7.7 eV/f.u.
**DOS at the Fermi energy**: 4.547 states/eV/cell
**Space-group type**: P4/mmm

Cell lengths 4.691, 4.691, 4.787 Å; angles 90.00, 90.00, 90.00 degrees
Positions (direct):
Nb 0.000 0.000 0.000
Cr 0.000 0.000 0.500
As 0.500 0.500 0.500
Ru 0.000 0.500 0.000
Ru 0.500 0.000 0.000

=====

E_tot
In order: -16.02; -35.16
Unit: eV per cell
Size of the total moment
In order: 0.00; 4.07
Unit: Bohr magnetons per cell